[1]
Entry from the Alexandria database: crystalline P2RuS2 at its relaxed geometry (GGA-PBE).

Properties
**Formation energy (no corrections)**: 1011 meV per atom
**Electronic total energy**: -23.3 eV/cell

a b c (Å): 4.3325 4.3325 4.3504
angles (deg): 90.00 90.00 90.00
Space group P4/mmm (No. 123)
Asymmetric unit:
P: 0.0000 0.0000 0.0000
P: 0.0000 0.0000 0.5000
Ru: 0.5000 0.5000 0.0000
S: 0.0000 0.5000 0.5000

---

[2]
Entry from the Alexandria database: crystalline Zn3Ge at its relaxed geometry (GGA-PBE).

Properties
**Electronic total energy**: -15.9 eV/cell
**ΔH_f (0 K)**: 0.13 eV per atom

a b c (Å): 4.0173 4.0173 8.0854
angles (deg): 90.00 90.00 90.00
Space group I4/mmm (No. 139)
Asymmetric unit:
Zn: 0.0000 0.0000 0.0000
Zn: 0.0000 0.5000 0.2500
Ge: 0.0000 0.0000 0.5000

---

[3]
Entry from the Alexandria database: crystalline Pr2NiBi at its relaxed geometry (GGA-PBE).

Properties
**Electronic total energy**: -62.5 eV/cell
**ΔH_f (0 K)**: -0.40 eV per atom

a b c (Å): 4.3993 4.3993 21.3513
angles (deg): 90.00 90.00 120.00
Space group R-3m (No. 166, hexagonal axes)
Asymmetric unit:
Pr: 0.0000 0.0000 0.2376
Ni: 0.0000 0.0000 0.5000
Bi: 0.0000 0.0000 0.0000

---

[4]
Entry from the Alexandria database: crystalline La7Hg2Ge2 at its relaxed geometry (GGA-PBE).

Properties
**Electronic total energy**: -96.7 eV/cell
**ΔH_f (0 K)**: -0.37 eV per atom

a b c (Å): 8.5430 11.5232 7.3358
angles (deg): 90.00 90.00 90.00
Space group Cmmm (No. 65)
Asymmetric unit:
La: 0.0000 0.0000 0.0000
La: 0.0000 0.5000 0.2519
La: 0.2500 0.2500 0.2846
Hg: 0.1687 0.0000 0.5000
Ge: 0.0000 0.2787 0.0000

---

[5]
Entry from the Alexandria database: crystalline Sr2GaCu2 at its relaxed geometry (GGA-PBE).

Properties
**Electronic total energy**: -29.8 eV/cell
**ΔH_f (0 K)**: -0.06 eV per atom

a b c (Å): 5.9765 5.9765 7.3611
angles (deg): 90.00 90.00 90.00
Space group I4/mmm (No. 139)
Asymmetric unit:
Sr: 0.0000 0.5000 0.2500
Ga: 0.0000 0.0000 0.0000
Cu: 0.0000 0.0000 0.3393

---

[6]
Entry from the Alexandria database: crystalline SmBeH8Ir2 at its relaxed geometry (GGA-PBE).

Properties
**Electronic total energy**: -110.9 eV/cell

a b c (Å): 7.6772 4.1647 6.4746
angles (deg): 90.00 113.23 90.00
Space group C2/m (No. 12)
Asymmetric unit:
Sm: 0.0000 0.0000 0.0000
Be: 0.0000 0.5000 0.5000
H: 0.0633 0.5000 0.1927
H: 0.1642 0.2619 0.8044
H: 0.2391 0.0000 0.3889
Ir: 0.2040 0.0000 0.6333

---

[7]
Entry from the Alexandria database: crystalline TaCdPb4 at its relaxed geometry (GGA-PBE).

Properties
**Electronic total energy**: -89.9 eV/cell
**ΔH_f (0 K)**: 0.85 eV per atom

a b c (Å): 8.9285 8.9285 8.9285
angles (deg): 90.00 90.00 90.00
Space group F-43m (No. 216)
Asymmetric unit:
Ta: 0.0000 0.0000 0.0000
Cd: 0.2500 0.2500 0.7500
Pb: 0.1258 0.1258 0.3742

---

[8]
Entry from the Alexandria database: crystalline BTeRhAu2 at its relaxed geometry (GGA-PBE).

Properties
**Formation energy (no corrections)**: 733 meV per atom
**Electronic total energy**: -20.1 eV/cell

a b c (Å): 5.1922 5.1922 3.8611
angles (deg): 90.00 90.00 90.00
Space group P4/mmm (No. 123)
Asymmetric unit:
B: 0.0000 0.0000 0.0000
Te: 0.5000 0.5000 0.0000
Rh: 0.0000 0.0000 0.5000
Au: 0.0000 0.5000 0.5000